# 1
# La6Pr16Ho7 | the Alexandria database | PBE | relaxed
data_La6Pr16Ho7
_chemical_formula_sum 'La24 Pr64 Ho28'
_space_group_name_H-M_alt 'F m -3 m'
_space_group_IT_number 225
_space_group_name_Hall '-F 4 2 3'
_cell_length_a 16.159
_cell_length_b 16.159
_cell_length_c 16.159
_cell_angle_alpha 90.00
_cell_angle_beta 90.00
_cell_angle_gamma 90.00
loop_
_atom_site_label
_atom_site_fract_x
_atom_site_fract_y
_atom_site_fract_z
La1 0.000 0.000 0.208
Pr1 0.123 0.123 0.377
Pr2 0.154 0.154 0.154
Ho1 0.000 0.000 0.500
Ho2 0.000 0.250 0.250
# * crystal system: cubic
# * M_tot: 1.026 μB per cell
# * ΔE_f: 0.1854 eV per atom

=====

# 2
# LaPr6Ho2 | the Alexandria database | PBE | relaxed
data_LaPr6Ho2
_chemical_formula_sum 'La1 Pr6 Ho2'
_space_group_name_H-M_alt 'P -3 1 m'
_space_group_IT_number 162
_space_group_name_Hall '-P 3 2'
_cell_length_a 10.2145
_cell_length_b 10.2145
_cell_length_c 3.5081
_cell_angle_alpha 90.00
_cell_angle_beta 90.00
_cell_angle_gamma 120.00
loop_
_atom_site_label
_atom_site_fract_x
_atom_site_fract_y
_atom_site_fract_z
La1 0.0000 0.0000 0.0000
Pr1 0.0000 0.3421 0.2253
Ho1 0.3333 0.6667 0.5000
# * ΔE to the lowest computed polymorph: 0.1046 eV/atom
# * crystal system: trigonal
# * M_tot: 0.309 μB per cell
# * ΔE_f: 0.1234 eV per atom

=====

# 3
# La6PrHo12 | the Alexandria database | PBE | relaxed
data_La6PrHo12
_chemical_formula_sum 'La18 Pr3 Ho36'
_space_group_name_H-M_alt 'R -3'
_space_group_IT_number 148
_space_group_name_Hall '-R 3'
_cell_length_a 12.3325
_cell_length_b 12.3325
_cell_length_c 14.6429
_cell_angle_alpha 90.00
_cell_angle_beta 90.00
_cell_angle_gamma 120.00
loop_
_atom_site_label
_atom_site_fract_x
_atom_site_fract_y
_atom_site_fract_z
La1 0.0243 0.4429 0.2216
Pr1 0.0000 0.0000 0.5000
Ho1 0.0544 0.1827 0.3029
Ho2 0.0668 0.8722 0.9042
# * ΔE to the lowest computed polymorph: 0.0000 eV/atom
# * crystal system: trigonal
# * M_tot: 0.000 μB per cell
# * ΔE_f: 0.1719 eV per atom

=====

# 4
# LaPr6Ho3 | the Alexandria database | PBE | relaxed
data_LaPr6Ho3
_chemical_formula_sum 'La4 Pr24 Ho12'
_space_group_name_H-M_alt 'C m c 21'
_space_group_IT_number 36
_cell_length_a 9.780
_cell_length_b 15.466
_cell_length_c 9.258
_cell_angle_alpha 90.00
_cell_angle_beta 90.00
_cell_angle_gamma 90.00
loop_
_space_group_symop_operation_xyz
'x,y,z'
'-x,-y,z+1/2'
'-x,y,z'
'x,-y,z+1/2'
'x+1/2,y+1/2,z'
'-x+1/2,-y+1/2,z+1/2'
'-x+1/2,y+1/2,z'
'x+1/2,-y+1/2,z+1/2'
loop_
_atom_site_label
_atom_site_fract_x
_atom_site_fract_y
_atom_site_fract_z
La1 0.000 0.221 0.000
Pr1 0.000 0.047 0.755
Pr2 0.000 0.277 0.637
Pr3 0.173 0.354 0.239
Pr4 0.241 0.433 0.576
Ho1 0.000 0.447 0.890
Ho2 0.177 0.145 0.408
# * ΔE to the lowest computed polymorph: 0.0000 eV/atom
# * crystal system: orthorhombic
# * M_tot: 0.000 μB per cell
# * ΔE_f: 0.1201 eV per atom

=====

# 5
# LaPrHo2 | the Alexandria database | PBE | relaxed
data_LaPrHo2
_chemical_formula_sum 'La1 Pr1 Ho2'
_space_group_name_H-M_alt 'P 4/m m m'
_space_group_IT_number 123
_space_group_name_Hall '-P 4 2'
_cell_length_a 5.188
_cell_length_b 5.188
_cell_length_c 5.013
_cell_angle_alpha 90.00
_cell_angle_beta 90.00
_cell_angle_gamma 90.00
loop_
_atom_site_label
_atom_site_fract_x
_atom_site_fract_y
_atom_site_fract_z
La1 0.000 0.000 0.000
Pr1 0.500 0.500 0.000
Ho1 0.000 0.500 0.500
# * ΔE to the lowest computed polymorph: 0.0098 eV/atom
# * crystal system: tetragonal
# * M_tot: 0.000 μB per cell
# * ΔE_f: 0.0230 eV per atom

=====

# 6
# La2PrHo5 | the Alexandria database | PBE | relaxed
data_La2PrHo5
_chemical_formula_sum 'La4 Pr2 Ho10'
_space_group_name_H-M_alt 'P b a m'
_space_group_IT_number 55
_cell_length_a 7.186
_cell_length_b 14.389
_cell_length_c 5.133
_cell_angle_alpha 90.00
_cell_angle_beta 90.00
_cell_angle_gamma 90.00
loop_
_space_group_symop_operation_xyz
'x,y,z'
'-x,-y,-z'
'-x,-y,z'
'x,y,-z'
'x+1/2,-y+1/2,-z'
'-x+1/2,y+1/2,z'
'-x+1/2,y+1/2,-z'
'x+1/2,-y+1/2,z'
loop_
_atom_site_label
_atom_site_fract_x
_atom_site_fract_y
_atom_site_fract_z
La1 0.245 0.126 0.000
Pr1 0.000 0.500 0.500
Ho1 0.000 0.000 0.500
Ho2 0.006 0.751 0.500
Ho3 0.245 0.375 0.000
# * ΔE to the lowest computed polymorph: 0.0000 eV/atom
# * crystal system: orthorhombic
# * M_tot: 0.000 μB per cell
# * ΔE_f: 0.0290 eV per atom

=====

# 7
# La5Pr12Ho2 | the Alexandria database | PBE | relaxed
data_La5Pr12Ho2
_chemical_formula_sum 'La10 Pr24 Ho4'
_space_group_name_H-M_alt 'I m m m'
_space_group_IT_number 71
_space_group_name_Hall '-I 2 2'
_cell_length_a 5.289
_cell_length_b 10.551
_cell_length_c 25.127
_cell_angle_alpha 90.00
_cell_angle_beta 90.00
_cell_angle_gamma 90.00
loop_
_atom_site_label
_atom_site_fract_x
_atom_site_fract_y
_atom_site_fract_z
La1 0.000 0.000 0.000
La2 0.000 0.000 0.199
La3 0.000 0.500 0.198
Pr1 0.000 0.000 0.409
Pr2 0.000 0.245 0.304
Pr3 0.000 0.258 0.094
Pr4 0.000 0.500 0.400
Ho1 0.000 0.273 0.500
# * ΔE to the lowest computed polymorph: 0.0000 eV/atom
# * crystal system: orthorhombic
# * M_tot: 0.000 μB per cell
# * ΔE_f: 0.1046 eV per atom

=====

# 8
# LaPr2Ho | the Alexandria database | PBE | relaxed
data_LaPr2Ho
_chemical_formula_sum 'La3 Pr6 Ho3'
_space_group_name_H-M_alt 'R 3 m'
_space_group_IT_number 160
_space_group_name_Hall 'R 3 -2"'
_cell_length_a 3.6745
_cell_length_b 3.6745
_cell_length_c 36.0688
_cell_angle_alpha 90.00
_cell_angle_beta 90.00
_cell_angle_gamma 120.00
loop_
_atom_site_label
_atom_site_fract_x
_atom_site_fract_y
_atom_site_fract_z
La1 0.0000 0.0000 0.0000
Pr1 0.0000 0.0000 0.5811
Pr2 0.0000 0.0000 0.7532
Ho1 0.0000 0.0000 0.1671
# * ΔE to the lowest computed polymorph: 0.0070 eV/atom
# * crystal system: trigonal
# * M_tot: 0.000 μB per cell
# * ΔE_f: 0.0208 eV per atom

=====

# 9
# La4PrHo4 | the Alexandria database | PBE | relaxed
data_La4PrHo4
_chemical_formula_sum 'La8 Pr2 Ho8'
_space_group_name_H-M_alt 'I 4/m m m'
_space_group_IT_number 139
_space_group_name_Hall '-I 4 2'
_cell_length_a 10.923
_cell_length_b 10.923
_cell_length_c 5.171
_cell_angle_alpha 90.00
_cell_angle_beta 90.00
_cell_angle_gamma 90.00
loop_
_atom_site_label
_atom_site_fract_x
_atom_site_fract_y
_atom_site_fract_z
La1 0.168 0.168 0.000
Pr1 0.000 0.000 0.500
Ho1 0.000 0.338 0.500
# * crystal system: tetragonal
# * M_tot: 0.002 μB per cell
# * ΔE_f: 0.0303 eV per atom

=====

# 10
# La5Pr5Ho2 | the Alexandria database | PBE | relaxed
data_La5Pr5Ho2
_chemical_formula_sum 'La10 Pr10 Ho4'
_space_group_name_H-M_alt 'C 1 2/m 1'
_space_group_IT_number 12
_cell_length_a 15.761
_cell_length_b 5.215
_cell_length_c 11.675
_cell_angle_alpha 90.00
_cell_angle_beta 116.75
_cell_angle_gamma 90.00
loop_
_space_group_symop_operation_xyz
'x,y,z'
'-x,-y,-z'
'-x,y,-z'
'x,-y,z'
'x+1/2,y+1/2,z'
'-x+1/2,-y+1/2,-z'
'-x+1/2,y+1/2,-z'
'x+1/2,-y+1/2,z'
loop_
_atom_site_label
_atom_site_fract_x
_atom_site_fract_y
_atom_site_fract_z
La1 0.000 0.000 0.000
La2 0.081 0.000 0.749
La3 0.167 0.000 0.500
Pr1 0.000 0.500 0.500
Pr2 0.166 0.500 0.000
Pr3 0.247 0.000 0.249
Ho1 0.084 0.500 0.250
# * crystal system: monoclinic
# * M_tot: 0.004 μB per cell
# * ΔE_f: 0.0192 eV per atom

=====

# 11
# La8Pr4Ho | the Alexandria database | PBE | relaxed
data_La8Pr4Ho
_chemical_formula_sum 'La24 Pr12 Ho3'
_space_group_name_H-M_alt 'R -3 m'
_space_group_IT_number 166
_space_group_name_Hall '-R 3 2"'
_cell_length_a 11.9499
_cell_length_b 11.9499
_cell_length_c 12.0164
_cell_angle_alpha 90.00
_cell_angle_beta 90.00
_cell_angle_gamma 120.00
loop_
_atom_site_label
_atom_site_fract_x
_atom_site_fract_y
_atom_site_fract_z
La1 0.0000 0.0000 0.2380
La2 0.0017 0.5008 0.6703
Pr1 0.0000 0.0000 0.0000
Pr2 0.0000 0.5000 0.0000
Ho1 0.0000 0.0000 0.5000
# * crystal system: trigonal
# * M_tot: 0.001 μB per cell
# * ΔE_f: 0.3459 eV per atom

=====

# 12
# LaPr3Ho7 | the Alexandria database | PBE | relaxed
data_LaPr3Ho7
_chemical_formula_sum 'La1 Pr3 Ho7'
_space_group_name_H-M_alt 'P 3 m 1'
_space_group_IT_number 156
_cell_length_a 7.0975
_cell_length_b 7.0975
_cell_length_c 8.7793
_cell_angle_alpha 90.00
_cell_angle_beta 90.00
_cell_angle_gamma 120.00
loop_
_space_group_symop_operation_xyz
'x,y,z'
'-y,x-y,z'
'-x+y,-x,z'
'-y,-x,z'
'-x+y,y,z'
'x,x-y,z'
loop_
_atom_site_label
_atom_site_fract_x
_atom_site_fract_y
_atom_site_fract_z
La1 0.0000 0.0000 0.0000
Pr1 0.1671 0.3341 0.6582
Ho1 0.0016 0.5008 0.9992
Ho2 0.3332 0.1666 0.3232
Ho3 0.3333 0.6667 0.3196
# * ΔE to the lowest computed polymorph: 0.0646 eV/atom
# * crystal system: trigonal
# * M_tot: 0.001 μB per cell
# * ΔE_f: 0.1809 eV per atom